# 1
An optimized crystal structure of Li3Ag, computed with GGA-PBEsol.

Space group = No. 10
Density of states at the Fermi level = 0.38 states/eV/atom
Formation enthalpy at 0 K = -0.109 eV per atom
Calculated total energy = -9.6 eV/cell

Lattice parameters (Å, degrees): 2.9550 3.8258 6.5676 90.00 116.39 90.00
Sites, in units of the cell vectors:
Ag 0.0000 0.0000 0.0000
Li 0.5000 0.0000 0.5000
Li 0.7242 0.5000 0.2255
Li 0.2758 0.5000 0.7745

---

# 2
An optimized crystal structure of MgZrSc2, computed with GGA-PBEsol.

Space group = No. 47
Density of states at the Fermi level = 1.74 states/eV/atom
Formation enthalpy at 0 K = 0.030 eV per atom
Calculated total energy = -23.9 eV/cell

Lattice parameters (Å, degrees): 3.1934 4.4195 6.4672 90.00 89.98 90.00
Sites, in units of the cell vectors:
Zr 0.5000 0.5000 0.0000
Sc 0.0000 0.0000 0.7623
Mg 0.5000 0.5000 0.5000
Sc 0.0000 0.0000 0.2377